1.
DFT (PBE) results for CsPd2Cl after structural relaxation.

D(E_F), states/eV/cell: 1.36
Total magnetic moment, μB per formula unit: 0.00
SG: No. 225
Calculated volume, Å³ per cell: 91.1
Electronic total energy, eV/cell: -12.16

a = 5.0508 Å, b = 5.0508 Å, c = 5.0508 Å
α = 60.00°, β = 60.00°, γ = 60.00°
Fractional coordinates of all 4 atoms:
Cs: 0.0000 0.0000 0.0000
Pd: 0.2500 0.2500 0.2500
Pd: 0.7500 0.7500 0.7500
Cl: 0.5000 0.5000 0.5000

2.
DFT (PBE) results for Cs6PdCl after structural relaxation.

D(E_F), states/eV/cell: 9.94
Total magnetic moment, μB per formula unit: 0.19
SG: No. 163
Calculated volume, Å³ per cell: 1180.5
Electronic total energy, eV/cell: -31.12

a = 9.0045 Å, b = 9.0045 Å, c = 16.8113 Å
α = 90.00°, β = 90.00°, γ = 120.00°
Fractional coordinates of all 16 atoms:
Cs: 0.0295 0.3391 0.1259
Cs: 0.0295 0.6904 0.3741
Cs: 0.3096 0.3391 0.3741
Cs: 0.3096 0.9705 0.1259
Cs: 0.3391 0.0295 0.6259
Cs: 0.3391 0.3096 0.8741
Cs: 0.6609 0.6904 0.1259
Cs: 0.6609 0.9705 0.3741
Cs: 0.6904 0.0295 0.8741
Cs: 0.6904 0.6609 0.6259
Cs: 0.9705 0.3096 0.6259
Cs: 0.9705 0.6609 0.8741
Pd: 0.3333 0.6667 0.2500
Pd: 0.6667 0.3333 0.7500
Cl: 0.0000 0.0000 0.0000
Cl: 0.0000 0.0000 0.5000

3.
DFT (PBE) results for Cs2PdCl4 after structural relaxation.

D(E_F), states/eV/cell: 0.00
Total magnetic moment, μB per formula unit: 0.00
SG: No. 123
Calculated volume, Å³ per cell: 274.2
Electronic total energy, eV/cell: -24.15

a = 7.5961 Å, b = 7.5961 Å, c = 4.7528 Å
α = 90.00°, β = 90.00°, γ = 90.00°
Fractional coordinates of all 7 atoms:
Cs: 0.0000 0.5000 0.0000
Cs: 0.5000 0.0000 0.0000
Pd: 0.0000 0.0000 0.5000
Cl: 0.2176 0.2176 0.5000
Cl: 0.2176 0.7824 0.5000
Cl: 0.7824 0.2176 0.5000
Cl: 0.7824 0.7824 0.5000

4.
DFT (PBE) results for CsPd4Cl7 after structural relaxation.

D(E_F), states/eV/cell: 13.46
Total magnetic moment, μB per formula unit: 0.00
SG: No. 31
Calculated volume, Å³ per cell: 647.8
Electronic total energy, eV/cell: -82.69

a = 16.1627 Å, b = 4.8737 Å, c = 8.2240 Å
α = 90.00°, β = 90.00°, γ = 90.00°
Fractional coordinates of all 24 atoms:
Cs: 0.0000 0.1168 0.0000
Cs: 0.5000 0.8832 0.5000
Pd: 0.0917 0.5883 0.4416
Pd: 0.2399 0.1278 0.5722
Pd: 0.2601 0.8722 0.0722
Pd: 0.4083 0.4117 0.9416
Pd: 0.5917 0.4117 0.9416
Pd: 0.7399 0.8722 0.0722
Pd: 0.7601 0.1278 0.5722
Pd: 0.9083 0.5883 0.4416
Cl: 0.0000 0.5800 0.6713
Cl: 0.1070 0.0862 0.4574
Cl: 0.1446 0.6218 0.1726
Cl: 0.1892 0.9291 0.8210
Cl: 0.3108 0.0709 0.3210
Cl: 0.3554 0.3782 0.6726
Cl: 0.3930 0.9138 0.9574
Cl: 0.5000 0.4200 0.1713
Cl: 0.6070 0.9138 0.9574
Cl: 0.6446 0.3782 0.6726
Cl: 0.6892 0.0709 0.3210
Cl: 0.8108 0.9291 0.8210
Cl: 0.8554 0.6218 0.1726
Cl: 0.8930 0.0862 0.4574

5.
DFT (PBE) results for Cs2Pd2Cl5 after structural relaxation.

D(E_F), states/eV/cell: 2.63
Total magnetic moment, μB per formula unit: 0.00
SG: No. 12
Calculated volume, Å³ per cell: 315.4
Electronic total energy, eV/cell: -30.73

a = 8.6591 Å, b = 8.6591 Å, c = 8.0548 Å
α = 101.59°, β = 101.59°, γ = 32.28°
Fractional coordinates of all 9 atoms:
Cs: 0.1227 0.1227 0.2740
Cs: 0.8773 0.8773 0.7260
Pd: 0.4120 0.4120 0.2055
Pd: 0.5880 0.5880 0.7945
Cl: 0.1066 0.1066 0.8238
Cl: 0.3345 0.3345 0.4163
Cl: 0.5000 0.5000 0.0000
Cl: 0.6655 0.6655 0.5837
Cl: 0.8934 0.8934 0.1762

6.
DFT (PBE) results for Cs3Pd2Cl9 after structural relaxation.

D(E_F), states/eV/cell: 17.81
Total magnetic moment, μB per formula unit: 2.07
SG: No. 194
Calculated volume, Å³ per cell: 886.1
Electronic total energy, eV/cell: -90.32

a = 7.3856 Å, b = 7.3856 Å, c = 18.7572 Å
α = 90.00°, β = 90.00°, γ = 120.00°
Fractional coordinates of all 28 atoms:
Cs: 0.0000 0.0000 0.2500
Cs: 0.0000 0.0000 0.7500
Cs: 0.3333 0.6667 0.0692
Cs: 0.3333 0.6667 0.4308
Cs: 0.6667 0.3333 0.5692
Cs: 0.6667 0.3333 0.9308
Pd: 0.3333 0.6667 0.6664
Pd: 0.3333 0.6667 0.8336
Pd: 0.6667 0.3333 0.1664
Pd: 0.6667 0.3333 0.3336
Cl: 0.0290 0.5145 0.7500
Cl: 0.1788 0.3576 0.5945
Cl: 0.1788 0.3576 0.9055
Cl: 0.1788 0.8212 0.5945
Cl: 0.1788 0.8212 0.9055
Cl: 0.3576 0.1788 0.0945
Cl: 0.3576 0.1788 0.4055
Cl: 0.4855 0.5145 0.7500
Cl: 0.4855 0.9710 0.7500
Cl: 0.5145 0.0290 0.2500
Cl: 0.5145 0.4855 0.2500
Cl: 0.6424 0.8212 0.5945
Cl: 0.6424 0.8212 0.9055
Cl: 0.8212 0.1788 0.0945
Cl: 0.8212 0.1788 0.4055
Cl: 0.8212 0.6424 0.0945
Cl: 0.8212 0.6424 0.4055
Cl: 0.9710 0.4855 0.2500

7.
DFT (PBE) results for Cs2PdCl5 after structural relaxation.

Total magnetic moment, μB per formula unit: 1.01
SG: No. 107
Calculated volume, Å³ per cell: 287.5
Electronic total energy, eV/cell: -26.06

a = 7.3370 Å, b = 7.3370 Å, c = 7.3370 Å
α = 117.92°, β = 117.92°, γ = 93.65°
Fractional coordinates of all 8 atoms:
Cs: 0.0000 0.5000 0.5000
Cs: 0.5000 0.0000 0.5000
Pd: 0.2657 0.2657 0.0000
Cl: 0.0288 0.0288 0.5629
Cl: 0.0288 0.4659 0.0000
Cl: 0.4659 0.0288 0.0000
Cl: 0.4659 0.4659 0.4371
Cl: 0.5132 0.5132 0.0000

8.
DFT (PBE) results for CsPdCl2 after structural relaxation.

D(E_F), states/eV/cell: 10.39
Total magnetic moment, μB per formula unit: 1.00
SG: No. 225
Calculated volume, Å³ per cell: 111.3
Electronic total energy, eV/cell: -11.76

a = 5.3990 Å, b = 5.3990 Å, c = 5.3990 Å
α = 60.00°, β = 60.00°, γ = 60.00°
Fractional coordinates of all 4 atoms:
Cs: 0.0000 0.0000 0.0000
Pd: 0.5000 0.5000 0.5000
Cl: 0.2500 0.2500 0.2500
Cl: 0.7500 0.7500 0.7500

9.
DFT (PBE) results for Cs2PmPdCl6 after structural relaxation.

D(E_F), states/eV/cell: 6.19
Total magnetic moment, μB per formula unit: 1.00
SG: No. 59
Calculated volume, Å³ per cell: 639.5
Electronic total energy, eV/cell: -79.73

a = 7.8329 Å, b = 10.4180 Å, c = 7.8370 Å
α = 90.00°, β = 90.00°, γ = 90.00°
Fractional coordinates of all 20 atoms:
Cs: 0.2500 0.0002 0.2494
Cs: 0.2500 0.4998 0.2494
Cs: 0.7500 0.9998 0.7506
Cs: 0.7500 0.5002 0.7506
Pm: 0.2500 0.2500 0.7493
Pm: 0.7500 0.7500 0.2507
Pd: 0.2500 0.7500 0.7505
Pd: 0.7500 0.2500 0.2495
Cl: 0.0054 0.2500 0.5045
Cl: 0.0049 0.2500 0.9937
Cl: 0.2500 0.5114 0.7501
Cl: 0.2500 0.9886 0.7501
Cl: 0.4946 0.2500 0.5045
Cl: 0.4951 0.2500 0.9937
Cl: 0.5049 0.7500 0.0063
Cl: 0.5054 0.7500 0.4955
Cl: 0.7500 0.0114 0.2499
Cl: 0.7500 0.4886 0.2499
Cl: 0.9951 0.7500 0.0063
Cl: 0.9946 0.7500 0.4955

10.
DFT (PBE) results for CsPdPtCl6 after structural relaxation.

D(E_F), states/eV/cell: 4.27
Total magnetic moment, μB per formula unit: 0.00
SG: No. 1
Calculated volume, Å³ per cell: 291.3
Electronic total energy, eV/cell: -29.74

a = 6.4951 Å, b = 6.4984 Å, c = 7.3860 Å
α = 94.07°, β = 94.17°, γ = 109.66°
Fractional coordinates of all 9 atoms:
Cs: 0.0000 0.0000 0.0000
Pd: 0.2616 0.7380 0.5000
Pt: 0.5990 0.4005 0.5000
Cl: 0.3141 0.0930 0.6310
Cl: 0.3176 0.4505 0.3030
Cl: 0.5491 0.6812 0.6973
Cl: 0.6264 0.1307 0.2870
Cl: 0.8695 0.3730 0.7128
Cl: 0.9062 0.6859 0.3691

11.
DFT (PBE) results for CsPuPdCl6 after structural relaxation.

D(E_F), states/eV/cell: 8.07
Total magnetic moment, μB per formula unit: 3.00
SG: No. 149
Calculated volume, Å³ per cell: 315.2
Electronic total energy, eV/cell: -44.34

a = 6.6921 Å, b = 6.6921 Å, c = 8.1261 Å
α = 90.00°, β = 90.00°, γ = 120.00°
Fractional coordinates of all 9 atoms:
Cs: 0.0000 0.0000 0.0000
Pu: 0.6667 0.3333 0.5000
Pd: 0.3333 0.6667 0.5000
Cl: 0.0079 0.3672 0.6905
Cl: 0.0079 0.6407 0.3095
Cl: 0.3593 0.3672 0.3095
Cl: 0.3593 0.9921 0.6905
Cl: 0.6328 0.6407 0.6905
Cl: 0.6328 0.9921 0.3095

12.
DFT (PBE) results for CsRbPdCl6 after structural relaxation.

Total magnetic moment, μB per formula unit: 0.00
SG: No. 149
Calculated volume, Å³ per cell: 350.5
Electronic total energy, eV/cell: -27.91

a = 7.6926 Å, b = 7.6926 Å, c = 6.8385 Å
α = 90.00°, β = 90.00°, γ = 120.00°
Fractional coordinates of all 9 atoms:
Cs: 0.0000 0.0000 0.0000
Rb: 0.3333 0.6667 0.5000
Pd: 0.6667 0.3333 0.5000
Cl: 0.4173 0.0858 0.7016
Cl: 0.4173 0.3315 0.2984
Cl: 0.6685 0.0858 0.2984
Cl: 0.6685 0.5827 0.7016
Cl: 0.9142 0.3315 0.7016
Cl: 0.9142 0.5827 0.2984

Question: Among the records above, which one has the highest calculated volume?
Answer: Cs6PdCl